Arrangement w

Compound: Rb6I2O
Source: Alexandria
Functional: GGA-PBE
Structure: optimized geometry

It has space group P2_1/c (No. 14), with a = 8.536 Å, b = 9.277 Å, c = 14.456 Å, α = 90.00°, β = 125.42° and γ = 90.00°. The distinct sites, in fractional coordinates, are Rb at (0.138, 0.024, 0.231), Rb at (0.206, 0.734, 0.047), Rb at (0.315, 0.162, 0.043), I at (0.283, 0.086, 0.749) and O at (0.000, 0.000, 0.000).

---

Arrangement x

Compound: Rb6I2O
Source: Alexandria
Functional: GGA-PBE
Structure: optimized geometry

It has space group Fm-3m (No. 225), with a = 12.093 Å, b = 12.093 Å, c = 12.093 Å, α = 90.00°, β = 90.00° and γ = 90.00°. The distinct sites, in fractional coordinates, are Rb at (0.000, 0.000, 0.231), I at (0.250, 0.250, 0.250) and O at (0.000, 0.000, 0.000).

---

How do the structures above rank in stability at the extremes? arrangement w comes first and arrangement x comes last.